1.
A relaxed structure of PmNdEu2. Source: Alexandria via LeMat-Bulk, functional PBE.

Geometry as extended XYZ:
```
4
Lattice="6.037 0.000 0.000 0.000 6.037 0.000 0.000 0.000 4.106" Properties=species:S:1:pos:R:3 pbc="T T T"
Pm 0.000 0.000 0.000
Nd 3.018 3.018 0.000
Eu 0.000 3.018 2.053
Eu 3.018 0.000 2.053
```

Properties
formation enthalpy at 0 K	134	meV/atom
distance to the lowest polymorph of the same formula	5.6	kJ per mole of atoms
volume	37.41	A^3/atom
space-group type	No. 123

2.
A relaxed structure of LiNdPuO5. Source: Alexandria via LeMat-Bulk, functional PBE.

Geometry as extended XYZ:
```
16
Lattice="3.656 -4.719 0.000 3.656 4.719 0.000 -3.169 0.000 6.975" Properties=species:S:1:pos:R:3 pbc="T T T"
Li 1.279 4.178 5.231
Li 2.864 -4.178 1.744
Nd 1.279 0.611 5.231
Nd 2.864 -0.611 1.744
Pu 1.828 2.360 0.000
Pu 0.244 -2.360 3.487
O 0.372 2.702 6.156
O -0.952 0.317 6.465
O 2.186 2.702 4.306
O 0.632 -0.317 2.977
O 2.864 1.765 1.744
O 1.279 -1.765 5.231
O 3.511 0.317 3.997
O 1.957 -2.702 2.669
O 5.095 -0.317 0.510
O 3.771 -2.702 0.818
```

Properties
volume	15.04	A^3/atom
energy relative to the elements, uncorrected	-2.74	eV per atom
space-group type	No. 15

3.
A relaxed structure of NaHPd. Source: Alexandria via LeMat-Bulk, functional PBE.

Geometry as extended XYZ:
```
12
Lattice="4.457 0.000 0.000 0.000 8.878 0.000 0.000 0.000 5.624" Properties=species:S:1:pos:R:3 pbc="T T T"
Na 0.000 1.323 1.406
Na 0.000 7.555 4.218
Na 2.229 3.116 4.218
Na 2.229 5.762 1.406
H 0.000 3.467 1.406
H 0.000 5.411 4.218
H 2.229 0.972 4.218
H 2.229 7.906 1.406
Pd 0.000 4.439 0.000
Pd 0.000 4.439 2.812
Pd 2.229 0.000 0.000
Pd 2.229 0.000 2.812
```

Properties
total energy	-10.35	eV/f.u.
volume	18.55	A^3/atom
space-group type	No. 63

4.
A relaxed structure of AgTe5. Source: Alexandria via LeMat-Bulk, functional PBE.

Geometry as extended XYZ:
```
6
Lattice="6.239 0.000 0.000 -3.119 5.403 0.000 0.000 0.000 5.705" Properties=species:S:1:pos:R:3 pbc="T T T"
Ag 0.000 0.000 0.000
Te -1.560 2.701 2.853
Te 0.000 3.602 0.000
Te 3.119 0.000 2.853
Te 1.560 2.701 2.853
Te 3.119 1.801 0.000
```

Properties
distance to the lowest polymorph of the same formula	48.7	kJ per mole of atoms
volume	32.05	A^3/atom
energy relative to the elements, uncorrected	0.51	eV per atom
space-group type	No. 191

5.
A relaxed structure of Ni2AgCl. Source: Alexandria via LeMat-Bulk, functional PBE.

Geometry as extended XYZ:
```
4
Lattice="3.074 0.000 0.000 0.000 3.059 0.000 -0.045 0.000 6.855" Properties=species:S:1:pos:R:3 pbc="T T T"
Ni 0.000 0.000 0.000
Ni 1.493 1.530 5.720
Ag 3.028 0.000 4.106
Cl 0.002 1.530 1.701
```

Properties
distance to the lowest polymorph of the same formula	0.0	kJ per mole of atoms
volume	16.11	A^3/atom
energy relative to the elements, uncorrected	0.15	eV per atom
space-group type	No. 6

6.
A relaxed structure of KSbTe. Source: Alexandria via LeMat-Bulk, functional PBE.

Geometry as extended XYZ:
```
3
Lattice="5.950 0.000 0.000 -2.975 5.153 0.000 0.000 0.000 3.147" Properties=species:S:1:pos:R:3 pbc="T T T"
K 0.000 0.000 0.000
Sb 2.975 1.718 1.574
Te 0.000 3.435 1.574
```

Properties
distance to the lowest polymorph of the same formula	22.1	kJ per mole of atoms
volume	32.17	A^3/atom
energy relative to the elements, uncorrected	-0.23	eV per atom
space-group type	No. 187